Entry 1:
Density functional theory data (PBE-GGA) for a geometry-optimized Ce2MnNi3Ge4 structure.

Values from the calculation:
E	-6.315	eV per atom

a b c (Å): 4.1442 4.1442 9.8638
angles (deg): 90.00 90.00 90.00
Fractional coordinates of all 10 atoms:
1 Ce 0.0000 0.5000 0.2452
2 Ce 0.5000 0.0000 0.7548
3 Mn 0.0000 0.0000 0.5000
4 Ni 0.0000 0.5000 0.8778
5 Ni 0.5000 0.0000 0.1222
6 Ni 0.5000 0.5000 0.5000
7 Ge 0.0000 0.0000 0.0000
8 Ge 0.0000 0.5000 0.6376
9 Ge 0.5000 0.0000 0.3624
10 Ge 0.5000 0.5000 0.0000

Entry 2:
Density functional theory data (PBE-GGA) for a geometry-optimized Ce2MnNi4Ge3 structure.

Values from the calculation:
E	-6.371	eV per atom

a b c (Å): 4.0637 4.0637 9.9213
angles (deg): 90.00 90.00 90.00
Fractional coordinates of all 10 atoms:
1 Ce 0.0000 0.5000 0.2503
2 Ce 0.5000 0.0000 0.7497
3 Mn 0.0000 0.0000 0.5000
4 Ni 0.0000 0.0000 0.0000
5 Ni 0.0000 0.5000 0.6341
6 Ni 0.5000 0.0000 0.3659
7 Ni 0.5000 0.5000 0.0000
8 Ge 0.0000 0.5000 0.8727
9 Ge 0.5000 0.0000 0.1273
10 Ge 0.5000 0.5000 0.5000

Number 1: calculated formation energy -0.63 eV/atom. Number 2: calculated formation energy -0.57 eV/atom.